[1]
# PuHf2C3

A geometry-optimized PuHf2C3 structure (GGA-PBE, OQMD).

Properties
Total energy, eV/atom: -10.87

Lattice parameters (Å, degrees): 3.292 3.292 8.312 90.00 90.00 120.00
Positions (direct):
Pu (0.000, 0.000, 0.000)
Hf (0.333, 0.667, 0.657)
Hf (0.667, 0.333, 0.343)
C (0.000, 0.000, 0.500)
C (0.333, 0.667, 0.173)
C (0.667, 0.333, 0.827)

[2]
# SrPmRe

A geometry-optimized SrPmRe structure (GGA-PBE, OQMD).

Properties
Total energy, eV/atom: -4.83

Lattice parameters (Å, degrees): 4.965 4.965 4.965 60.00 60.00 60.00
Positions (direct):
Sr (0.000, 0.000, 0.000)
Pm (0.750, 0.750, 0.750)
Re (0.500, 0.500, 0.500)

[3]
# Ta3BiC2

A geometry-optimized Ta3BiC2 structure (GGA-PBE, OQMD).

Properties
Total energy, eV/atom: -9.90

Lattice parameters (Å, degrees): 3.255 3.255 19.644 90.00 90.00 120.00
Positions (direct):
Ta (0.000, 0.000, 0.000)
Ta (0.000, 0.000, 0.500)
Ta (0.333, 0.667, 0.122)
Ta (0.333, 0.667, 0.378)
Ta (0.667, 0.333, 0.622)
Ta (0.667, 0.333, 0.878)
Bi (0.000, 0.000, 0.250)
Bi (0.000, 0.000, 0.750)
C (0.333, 0.667, 0.567)
C (0.333, 0.667, 0.933)
C (0.667, 0.333, 0.067)
C (0.667, 0.333, 0.433)

[4]
# HgSb

A geometry-optimized HgSb structure (GGA-PBE, OQMD).

Properties
E above lowest polymorph, meV/atom: 172

Lattice parameters (Å, degrees): 4.588 4.588 4.588 60.00 60.00 60.00
Positions (direct):
Hg (0.000, 0.000, 0.000)
Sb (0.750, 0.750, 0.750)

[5]
# Zr2W

A geometry-optimized Zr2W structure (GGA-PBE, OQMD).

Properties
Energy of formation, eV per atom: 0.15
E above lowest polymorph, meV/atom: 12

Lattice parameters (Å, degrees): 7.467 7.467 4.973 90.00 90.00 153.75
Positions (direct):
Zr (0.077, 0.923, 0.750)
Zr (0.230, 0.770, 0.250)
Zr (0.770, 0.230, 0.750)
Zr (0.923, 0.077, 0.250)
W (0.422, 0.578, 0.750)
W (0.578, 0.422, 0.250)

[6]
# Pr3Mg3Pd2Au

A geometry-optimized Pr3Mg3Pd2Au structure (GGA-PBE, OQMD).

Properties
Total energy, eV/atom: -4.27

Lattice parameters (Å, degrees): 7.706 7.706 4.168 90.00 90.00 120.00
Positions (direct):
Pr (0.000, 0.584, 0.000)
Pr (0.416, 0.416, 0.000)
Pr (0.584, 0.000, 0.000)
Mg (0.000, 0.243, 0.500)
Mg (0.243, 0.000, 0.500)
Mg (0.757, 0.757, 0.500)
Pd (0.333, 0.667, 0.500)
Pd (0.667, 0.333, 0.500)
Au (0.000, 0.000, 0.000)